[1]
An optimized crystal structure of Sm3GaRh. Source: the Alexandria database, functional GGA-PBE.

Cell: 5.1341 7.5327 7.1156 Å, 98.21 90.02 90.01°
Element x y z (fractional)
Sm 0.0429 0.6742 0.8912
Sm 0.5431 0.9047 0.1607
Sm 0.5434 0.5152 0.4137
Sm 0.5430 0.3350 0.9677
Sm 0.5433 0.9548 0.6599
Sm 0.0434 0.1901 0.4428
Ga 0.0433 0.7786 0.3792
Ga 0.0430 0.1054 0.9721
Rh 0.5427 0.6424 0.7978
Rh 0.0431 0.4429 0.1919

## Properties
Fermi-level density of states ... 9.70 states/eV/cell
Polymorph energy (0 for the lowest one) ... 117 meV/atom
SG ... Pm
DFT formation energy ... -0.42 eV/atom

---

[2]
An optimized crystal structure of SmGa5Rh2. Source: the Alexandria database, functional GGA-PBE.

Cell: 3.9429 6.5224 6.5224 Å, 67.45 72.41 72.41°
Element x y z (fractional)
Ga 0.6457 0.1563 0.5523
Ga 0.3543 0.8437 0.4477
Ga 0.6457 0.5523 0.1563
Ga 0.0000 0.5000 0.5000
Ga 0.3543 0.4477 0.8437
Sm 0.0000 0.0000 0.0000
Rh 0.2394 0.2606 0.2606
Rh 0.7606 0.7394 0.7394

## Properties
Fermi-level density of states ... 3.37 states/eV/cell
SG ... Immm
DFT formation energy ... -0.61 eV/atom

---

[3]
An optimized crystal structure of SmGa2Rh. Source: the Alexandria database, functional GGA-PBE.

Cell: 3.2597 3.2597 6.9837 Å, 90.00 90.00 90.00°
Element x y z (fractional)
Ga 0.0000 0.0000 0.1938
Ga 0.0000 0.0000 0.8062
Rh 0.5000 0.5000 0.0000
Sm 0.5000 0.5000 0.5000

## Properties
Fermi-level density of states ... 3.15 states/eV/cell
SG ... P4/mmm
DFT formation energy ... -0.57 eV/atom

---

[4]
An optimized crystal structure of Sm3Ga2Rh. Source: the Alexandria database, functional GGA-PBE.

Cell: 4.2297 11.7205 12.1047 Å, 90.00 90.00 90.00°
Element x y z (fractional)
Sm 0.2500 0.4465 0.3842
Sm 0.2500 0.0535 0.8842
Sm 0.7500 0.9465 0.1158
Sm 0.2500 0.3736 0.0455
Sm 0.2500 0.7039 0.2307
Sm 0.7500 0.5535 0.6158
Sm 0.2500 0.7961 0.7307
Sm 0.7500 0.2039 0.2693
Sm 0.7500 0.8736 0.4545
Sm 0.2500 0.1264 0.5455
Sm 0.7500 0.6264 0.9545
Sm 0.7500 0.2961 0.7693
Ga 0.2500 0.8053 0.9900
Ga 0.7500 0.4957 0.1917
Ga 0.2500 0.9957 0.3083
Ga 0.7500 0.1947 0.0100
Ga 0.7500 0.0043 0.6917
Ga 0.2500 0.5043 0.8083
Ga 0.7500 0.3053 0.5100
Ga 0.2500 0.6947 0.4900
Rh 0.7500 0.8791 0.8719
Rh 0.2500 0.1209 0.1281
Rh 0.2500 0.3791 0.6281
Rh 0.7500 0.6209 0.3719

## Properties
Fermi-level density of states ... 24.75 states/eV/cell
SG ... Pnma
DFT formation energy ... -0.64 eV/atom

---

[5]
An optimized crystal structure of Sm8GaRh2. Source: the Alexandria database, functional GGA-PBE.

Cell: 5.6508 8.0540 8.0540 Å, 115.29 99.23 99.23°
Element x y z (fractional)
Sm 0.9991 0.7667 0.2373
Sm 0.5626 0.0882 0.3363
Sm 0.4334 0.9188 0.6706
Sm 0.1835 0.3884 0.3884
Sm 0.8150 0.6185 0.6185
Sm 0.4334 0.6706 0.9188
Sm 0.9991 0.2373 0.7667
Sm 0.5626 0.3363 0.0882
Rh 0.4994 0.7113 0.2955
Rh 0.4994 0.2955 0.7113
Ga 0.0122 0.0024 0.0024

## Properties
Fermi-level density of states ... 12.83 states/eV/cell
SG ... Cm
DFT formation energy ... -0.31 eV/atom

---

[6]
An optimized crystal structure of Sm4GaRh. Source: the Alexandria database, functional GGA-PBE.

Cell: 9.6915 9.6915 9.6915 Å, 60.00 60.00 60.00°
Element x y z (fractional)
Rh 0.6072 0.6072 0.6072
Rh 0.6072 0.6072 0.1785
Rh 0.1785 0.6072 0.6072
Rh 0.6072 0.1785 0.6072
Sm 0.9441 0.5559 0.9441
Sm 0.9441 0.5559 0.5559
Sm 0.1874 0.8126 0.8126
Sm 0.8126 0.1874 0.1874
Sm 0.5559 0.5559 0.9441
Sm 0.9441 0.9441 0.5559
Sm 0.3966 0.8101 0.3966
Sm 0.1874 0.1874 0.8126
Sm 0.5559 0.9441 0.9441
Sm 0.3966 0.3966 0.8101
Sm 0.8126 0.1874 0.8126
Sm 0.3966 0.3966 0.3966
Sm 0.1874 0.8126 0.1874
Sm 0.8101 0.3966 0.3966
Sm 0.5559 0.9441 0.5559
Sm 0.8126 0.8126 0.1874
Ga 0.1703 0.4892 0.1703
Ga 0.1703 0.1703 0.4892
Ga 0.4892 0.1703 0.1703
Ga 0.1703 0.1703 0.1703

## Properties
Fermi-level density of states ... 17.09 states/eV/cell
Polymorph energy (0 for the lowest one) ... 0 meV/atom
SG ... F-43m
DFT formation energy ... -0.49 eV/atom

---

[7]
An optimized crystal structure of Sm12GaRh6. Source: the Alexandria database, functional GGA-PBE.

Cell: 8.6847 8.6847 8.6847 Å, 109.47 109.47 109.47°
Element x y z (fractional)
Sm 0.8855 0.1862 0.6993
Sm 0.3007 0.4868 0.1862
Sm 0.6993 0.8855 0.1862
Sm 0.5132 0.8138 0.6993
Sm 0.3007 0.1145 0.8138
Sm 0.1862 0.3007 0.4868
Sm 0.6993 0.5132 0.8138
Sm 0.1145 0.8138 0.3007
Sm 0.4868 0.1862 0.3007
Sm 0.8138 0.3007 0.1145
Sm 0.1862 0.6993 0.8855
Sm 0.8138 0.6993 0.5132
Rh 0.8684 0.3684 0.5000
Rh 0.5000 0.1316 0.6316
Rh 0.5000 0.8684 0.3684
Rh 0.1316 0.6316 0.5000
Rh 0.6316 0.5000 0.1316
Rh 0.3684 0.5000 0.8684
Ga 0.0000 0.0000 0.0000

## Properties
Fermi-level density of states ... 18.79 states/eV/cell
SG ... Im-3
DFT formation energy ... -0.53 eV/atom

---

[8]
An optimized crystal structure of SmGa2Rh5. Source: the Alexandria database, functional GGA-PBE.

Cell: 3.8182 6.4441 6.4441 Å, 65.44 72.77 72.77°
Element x y z (fractional)
Rh 0.6365 0.5611 0.1660
Rh 0.3635 0.4389 0.8340
Rh 0.0000 0.5000 0.5000
Rh 0.3635 0.8340 0.4389
Rh 0.6365 0.1660 0.5611
Ga 0.7564 0.7436 0.7436
Ga 0.2436 0.2564 0.2564
Sm 0.0000 0.0000 0.0000

## Properties
Fermi-level density of states ... 9.14 states/eV/cell
SG ... Immm
DFT formation energy ... -0.48 eV/atom